Record 1
# NaSr6Tl2

A relaxed NaSr6Tl2 crystal (PBE, the Alexandria database).

Calculated values
For the formation energy, the calculation gives -0.122 eV per atom. The distance to the lowest polymorph of the same formula comes out at 0.61 eV per formula unit. The calculation puts the density of states at the Fermi level at 1.0761 states/eV/atom.

a = 7.6084 Å, b = 9.6184 Å, c = 12.4433 Å
α = 90.00°, β = 119.78°, γ = 90.00°
With the nearest neighbours (Å) after each atom.
Positions (direct):
Na1 0.0000 0.0000 0.0000  6 Sr 3.43-3.60
Na2 0.0000 0.5000 0.5000  6 Sr 3.43-3.60
Sr1 0.0936 0.1508 0.4370  3 Tl 3.47-3.67, 1 Na 3.60, 1 Sr 3.89
Sr2 0.0936 0.3492 0.9370  3 Tl 3.47-3.67, 1 Na 3.60, 1 Sr 3.89
Sr3 0.3174 0.6915 0.4276  1 Na 3.49, 3 Tl 3.55-3.89
Sr4 0.3174 0.8085 0.9276  1 Na 3.49, 3 Tl 3.55-3.89
Sr5 0.4339 0.0513 0.2785  1 Na 3.43, 2 Tl 3.50-3.56
Sr6 0.4339 0.4487 0.7785  1 Na 3.43, 2 Tl 3.50-3.56
Sr7 0.5661 0.5513 0.2215  1 Na 3.43, 2 Tl 3.50-3.56
Sr8 0.5661 0.9487 0.7215  1 Na 3.43, 2 Tl 3.50-3.56
Sr9 0.6826 0.1915 0.0724  1 Na 3.49, 3 Tl 3.55-3.89
Sr10 0.6826 0.3085 0.5724  1 Na 3.49, 3 Tl 3.55-3.89
Sr11 0.9064 0.6508 0.0630  3 Tl 3.47-3.67, 1 Na 3.60, 1 Sr 3.89
Sr12 0.9064 0.8492 0.5630  3 Tl 3.47-3.67, 1 Na 3.60, 1 Sr 3.89
Tl1 0.1950 0.1237 0.7566  7 Sr 3.47-3.84
Tl2 0.1950 0.3763 0.2566  7 Sr 3.47-3.84
Tl3 0.8050 0.6237 0.7434  7 Sr 3.47-3.84
Tl4 0.8050 0.8763 0.2434  7 Sr 3.47-3.84



Record 2
# Na4SrTl6

A relaxed Na4SrTl6 crystal (PBE, the Alexandria database).

Calculated values
For the formation energy, the calculation gives -0.058 eV per atom. The calculation puts the density of states at the Fermi level at 0.4201 states/eV/atom.

a = 8.4072 Å, b = 8.4072 Å, c = 8.4072 Å
α = 125.51°, β = 125.51°, γ = 80.70°
With the nearest neighbours (Å) after each atom.
Positions (direct):
Na1 0.0932 0.0932 0.5642  3 Tl 3.11-3.22
Na2 0.4710 0.9068 0.0000  3 Tl 3.11-3.22
Na3 0.5290 0.5290 0.4358  3 Tl 3.11-3.22
Na4 0.9068 0.4710 0.0000  3 Tl 3.11-3.22
Sr1 0.0000 0.0000 0.0000  8 Tl 3.84-3.85, 4 Na 3.91
Tl1 0.0000 0.5000 0.5000  4 Tl 3.10
Tl2 0.2467 0.5733 0.0000  4 Tl 3.10-3.41, 3 Na 3.11-3.22
Tl3 0.4267 0.4267 0.6734  4 Tl 3.10-3.41, 3 Na 3.11-3.22
Tl4 0.5000 0.0000 0.5000  4 Tl 3.10
Tl5 0.5733 0.2467 0.0000  4 Tl 3.10-3.41, 3 Na 3.11-3.22
Tl6 0.7533 0.7533 0.3266  4 Tl 3.10-3.41, 3 Na 3.11-3.22



Record 3
# Na2SrTl3

A relaxed Na2SrTl3 crystal (PBE, the Alexandria database).

Calculated values
For the formation energy, the calculation gives -0.182 eV per atom. The distance to the lowest polymorph of the same formula comes out at 0.09 eV per formula unit. The calculation puts the density of states at the Fermi level at 0.8616 states/eV/atom.

a = 5.4847 Å, b = 5.4847 Å, c = 14.3635 Å
α = 90.00°, β = 90.00°, γ = 120.00°
With the nearest neighbours (Å) after each atom.
Positions (direct):
Na1 0.3333 0.6667 0.0862  7 Tl 3.21-3.40
Na2 0.3333 0.6667 0.4138  7 Tl 3.21-3.40
Na3 0.6667 0.3333 0.5862  7 Tl 3.21-3.40
Na4 0.6667 0.3333 0.9138  7 Tl 3.21-3.40
Sr1 0.0000 0.0000 0.2500  8 Tl 3.56-3.59, 6 Na 3.94
Sr2 0.0000 0.0000 0.7500  8 Tl 3.56-3.59, 6 Na 3.94
Tl1 0.0000 0.0000 0.0000  6 Na 3.40, 2 Sr 3.59, 6 Tl 3.73
Tl2 0.0000 0.0000 0.5000  6 Na 3.40, 2 Sr 3.59, 6 Tl 3.73
Tl3 0.3333 0.6667 0.6372  4 Na 3.21-3.25, 1 Tl 3.24, 3 Sr 3.56
Tl4 0.3333 0.6667 0.8628  4 Na 3.21-3.25, 1 Tl 3.24, 3 Sr 3.56
Tl5 0.6667 0.3333 0.1372  4 Na 3.21-3.25, 1 Tl 3.24, 3 Sr 3.56
Tl6 0.6667 0.3333 0.3628  4 Na 3.21-3.25, 1 Tl 3.24, 3 Sr 3.56



Record 4
# NaSrTl6

A relaxed NaSrTl6 crystal (PBE, the Alexandria database).

Calculated values
For the formation energy, the calculation gives -0.154 eV per atom. The calculation puts the density of states at the Fermi level at 0.5055 states/eV/atom.

a = 5.6701 Å, b = 6.9396 Å, c = 6.9396 Å
α = 63.36°, β = 90.00°, γ = 90.00°
With the nearest neighbours (Å) after each atom.
Positions (direct):
Na1 0.0000 0.0000 0.0000  12 Tl 3.45-3.65
Sr1 0.5000 0.3025 0.3025  12 Tl 3.45-3.65
Tl1 0.0000 0.4863 0.4863  8 Tl 3.41-3.53, 2 Sr 3.57, 2 Na 3.65
Tl2 0.0000 0.5115 0.9666  7 Tl 3.32-3.53, 2 Na 3.45-3.50, 2 Sr 3.54
Tl3 0.0000 0.9666 0.5115  7 Tl 3.32-3.53, 2 Na 3.45-3.50, 2 Sr 3.54
Tl4 0.5000 0.3285 0.7947  7 Tl 3.40-3.53, 2 Sr 3.45-3.50, 2 Na 3.51
Tl5 0.5000 0.7947 0.3285  7 Tl 3.40-3.53, 2 Sr 3.45-3.50, 2 Na 3.51
Tl6 0.5000 0.8224 0.8224  8 Tl 3.43-3.52, 2 Na 3.53, 2 Sr 3.65



Record 5
# Na2Sr5Tl

A relaxed Na2Sr5Tl crystal (PBE, the Alexandria database).

Calculated values
For the formation energy, the calculation gives -0.065 eV per atom. The calculation puts the density of states at the Fermi level at 0.8448 states/eV/atom.

a = 11.0201 Å, b = 11.0201 Å, c = 11.0201 Å
α = 132.50°, β = 132.50°, γ = 69.44°
With the nearest neighbours (Å) after each atom.
Positions (direct):
Na1 0.1226 0.6226 0.7451  1 Na 3.08
Na2 0.3774 0.1226 0.5000  1 Na 3.08
Na3 0.6226 0.8774 0.5000  1 Na 3.08
Na4 0.8774 0.3774 0.2549  1 Na 3.08
Sr1 0.0000 0.0000 0.0000  4 Na 3.52
Sr2 0.0138 0.1686 0.5000  2 Tl 3.68, 1 Sr 3.83, 3 Na 3.86-3.92
Sr3 0.1686 0.6686 0.1548  2 Tl 3.68, 1 Sr 3.83, 3 Na 3.86-3.92
Sr4 0.3314 0.4862 0.5000  2 Tl 3.68, 1 Sr 3.83, 3 Na 3.86-3.92
Sr5 0.4862 0.9862 0.1548  2 Tl 3.68, 1 Sr 3.83, 3 Na 3.86-3.92
Sr6 0.5000 0.5000 0.0000  4 Na 3.52
Sr7 0.5138 0.0138 0.8452  2 Tl 3.68, 1 Sr 3.83, 3 Na 3.86-3.92
Sr8 0.6686 0.5138 0.5000  2 Tl 3.68, 1 Sr 3.83, 3 Na 3.86-3.92
Sr9 0.8314 0.3314 0.8452  2 Tl 3.68, 1 Sr 3.83, 3 Na 3.86-3.92
Sr10 0.9862 0.8314 0.5000  2 Tl 3.68, 1 Sr 3.83, 3 Na 3.86-3.92
Tl1 0.2500 0.2500 0.0000  8 Sr 3.68
Tl2 0.7500 0.7500 0.0000  8 Sr 3.68



Record 6
# Na8SrTl6

A relaxed Na8SrTl6 crystal (PBE, the Alexandria database).

Calculated values
For the formation energy, the calculation gives -0.091 eV per atom. The calculation puts the density of states at the Fermi level at 0.7695 states/eV/atom.

a = 8.4850 Å, b = 8.4850 Å, c = 8.4850 Å
α = 67.60°, β = 67.60°, γ = 67.60°
With the nearest neighbours (Å) after each atom.
Positions (direct):
Na1 0.0400 0.7133 0.3821  5 Tl 3.23-3.59, 3 Na 3.59-3.61
Na2 0.1667 0.1667 0.1667  6 Tl 3.20
Na3 0.2867 0.6179 0.9600  5 Tl 3.23-3.59, 3 Na 3.59-3.61
Na4 0.3821 0.0400 0.7133  5 Tl 3.23-3.59, 3 Na 3.59-3.61
Na5 0.6179 0.9600 0.2867  5 Tl 3.23-3.59, 3 Na 3.59-3.61
Na6 0.7133 0.3821 0.0400  5 Tl 3.23-3.59, 3 Na 3.59-3.61
Na7 0.8333 0.8333 0.8333  6 Tl 3.20
Na8 0.9600 0.2867 0.6179  5 Tl 3.23-3.59, 3 Na 3.59-3.61
Sr1 0.5000 0.5000 0.5000  6 Tl 3.38
Tl1 0.1096 0.4560 0.8027  6 Na 3.20-3.54, 1 Tl 3.37, 1 Sr 3.38
Tl2 0.1973 0.8904 0.5440  6 Na 3.20-3.54, 1 Tl 3.37, 1 Sr 3.38
Tl3 0.4560 0.8027 0.1096  6 Na 3.20-3.54, 1 Tl 3.37, 1 Sr 3.38
Tl4 0.5440 0.1973 0.8904  6 Na 3.20-3.54, 1 Tl 3.37, 1 Sr 3.38
Tl5 0.8027 0.1096 0.4560  6 Na 3.20-3.54, 1 Tl 3.37, 1 Sr 3.38
Tl6 0.8904 0.5440 0.1973  6 Na 3.20-3.54, 1 Tl 3.37, 1 Sr 3.38



Record 7
# NaSr3Tl

A relaxed NaSr3Tl crystal (PBE, the Alexandria database).

Calculated values
For the formation energy, the calculation gives -0.165 eV per atom. The distance to the lowest polymorph of the same formula comes out at 0.00 eV per formula unit. The calculation puts the density of states at the Fermi level at 0.8998 states/eV/atom.

a = 11.7746 Å, b = 11.7746 Å, c = 5.9807 Å
α = 90.00°, β = 90.00°, γ = 150.59°
With the nearest neighbours (Å) after each atom.
Positions (direct):
Na1 0.1596 0.8404 0.7500  8 Sr 3.62-3.64
Na2 0.8404 0.1596 0.2500  8 Sr 3.62-3.64
Sr1 0.0694 0.9306 0.2500  2 Tl 3.59, 2 Na 3.63
Sr2 0.2508 0.7492 0.2500  4 Na 3.62-3.64, 4 Tl 3.66-3.68
Sr3 0.4315 0.5685 0.2500  2 Tl 3.60, 2 Na 3.64
Sr4 0.5685 0.4315 0.7500  2 Tl 3.60, 2 Na 3.64
Sr5 0.7492 0.2508 0.7500  4 Na 3.62-3.64, 4 Tl 3.66-3.68
Sr6 0.9306 0.0694 0.7500  2 Tl 3.59, 2 Na 3.63
Tl1 0.3434 0.6566 0.7500  8 Sr 3.59-3.68
Tl2 0.6566 0.3434 0.2500  8 Sr 3.59-3.68



Record 8
# Na2SrTl2

A relaxed Na2SrTl2 crystal (PBE, the Alexandria database).

Calculated values
For the formation energy, the calculation gives -0.146 eV per atom. The distance to the lowest polymorph of the same formula comes out at 0.15 eV per formula unit. The calculation puts the density of states at the Fermi level at 0.4926 states/eV/atom.

a = 8.9583 Å, b = 8.9583 Å, c = 3.8917 Å
α = 90.00°, β = 90.00°, γ = 90.00°
With the nearest neighbours (Å) after each atom.
Positions (direct):
Na1 0.1173 0.3827 0.0000  1 Na 2.97, 2 Tl 3.18
Na2 0.3827 0.8827 0.0000  1 Na 2.97, 2 Tl 3.18
Na3 0.6173 0.1173 0.0000  1 Na 2.97, 2 Tl 3.18
Na4 0.8827 0.6173 0.0000  1 Na 2.97, 2 Tl 3.18
Sr1 0.0000 0.0000 0.0000  4 Na 3.59, 8 Tl 3.81, 2 Sr 3.89
Sr2 0.5000 0.5000 0.0000  4 Na 3.59, 8 Tl 3.81, 2 Sr 3.89
Tl1 0.1843 0.6843 0.5000  6 Na 3.18-3.38
Tl2 0.3157 0.1843 0.5000  6 Na 3.18-3.38
Tl3 0.6843 0.8157 0.5000  6 Na 3.18-3.38
Tl4 0.8157 0.3157 0.5000  6 Na 3.18-3.38